(1)
10
Lattice="9.070 -1.916 0.000 9.070 1.916 0.000 -1.584 0.000 7.986" Properties=species:S:1:pos:R:3 comment="Sm2Sc2CI3Cl2, optimized geometry, DFT GGA-PBE" polymorph_energy_mev_per_atom=28 spacegroup="C2/m (12)" pbc="T T T"
Sm 2.357 0.000 0.583
Sm 14.200 0.000 7.403
Sc 8.763 0.000 1.454
Sc 7.794 0.000 6.532
C 0.000 0.000 0.000
I -0.792 0.000 3.993
I 5.678 0.000 1.639
I 10.879 0.000 6.346
Cl 5.407 0.000 5.428
Cl 11.150 0.000 2.558

(2)
8
Lattice="4.312 0.000 0.000 0.000 4.312 0.000 0.000 0.000 9.069" Properties=species:S:1:pos:R:3 comment="SmDyAsO, optimized geometry, DFT GGA-PBE" polymorph_energy_mev_per_atom=136 spacegroup="P4/nmm (129)" pbc="T T T"
Sm 1.078 3.234 0.000
Sm 3.234 1.078 0.000
Dy 1.078 1.078 3.642
Dy 3.234 3.234 5.427
As 1.078 1.078 7.124
As 3.234 3.234 1.945
O 1.078 3.234 4.534
O 3.234 1.078 4.534

(3)
16
Lattice="6.501 0.000 0.000 0.000 6.501 0.000 0.000 0.000 6.501" Properties=species:S:1:pos:R:3 comment="HfAlFeHg, optimized geometry, DFT GGA-PBE" polymorph_energy_mev_per_atom=0 spacegroup="F-43m (216)" pbc="T T T"
Hf 0.000 0.000 0.000
Hf 0.000 3.251 3.251
Hf 3.251 0.000 3.251
Hf 3.251 3.251 0.000
Al 0.000 0.000 3.251
Al 0.000 3.251 0.000
Al 3.251 0.000 0.000
Al 3.251 3.251 3.251
Fe 1.625 1.625 4.876
Fe 1.625 4.876 1.625
Fe 4.876 1.625 1.625
Fe 4.876 4.876 4.876
Hg 1.625 1.625 1.625
Hg 1.625 4.876 4.876
Hg 4.876 1.625 4.876
Hg 4.876 4.876 1.625

(4)
12
Lattice="1.783 -6.975 0.000 1.783 6.975 0.000 0.000 0.000 10.054" Properties=species:S:1:pos:R:3 comment="NaNbAgSeS2, optimized geometry, DFT GGA-PBE" total_energy_ev_per_atom=-4.96 spacegroup="Cmcm (63)" pbc="T T T"
Na 1.783 3.596 7.541
Na 1.783 -3.596 2.514
Nb 0.000 0.000 0.000
Nb 0.000 0.000 5.027
Ag 1.783 0.759 2.514
Ag 1.783 -0.759 7.541
Se 1.783 5.754 2.514
Se 1.783 -5.754 7.541
S 1.783 1.777 0.333
S 1.783 1.777 4.695
S 1.783 -1.777 5.360
S 1.783 -1.777 9.722